## BaBeOs (PBE)

Data for an optimized crystal structure of BaBeOs.

Computed properties:
Crystal system: cubic
Offset from the most stable computed form, meV/atom: 50

Geometry as POSCAR:
```
BaBeOs
1.0
6.4259 0.0000 0.0000
0.0000 6.4259 0.0000
0.0000 0.0000 6.4259
Ba Be Os
4 4 4
direct
0.0000 0.0000 0.0000
0.0000 0.5000 0.5000
0.5000 0.0000 0.5000
0.5000 0.5000 0.0000
0.2500 0.2500 0.2500
0.2500 0.7500 0.7500
0.7500 0.2500 0.7500
0.7500 0.7500 0.2500
0.0000 0.0000 0.5000
0.0000 0.5000 0.0000
0.5000 0.0000 0.0000
0.5000 0.5000 0.5000
```

---

## SiNiAgHg (PBE)

Data for an optimized crystal structure of SiNiAgHg.

Computed properties:
Total energy, eV per atom: -3.170
Crystal system: cubic

Geometry as POSCAR:
```
SiNiAgHg
1.0
6.4546 0.0000 0.0000
0.0000 6.4546 0.0000
0.0000 0.0000 6.4546
Si Ni Ag Hg
4 4 4 4
direct
0.0000 0.0000 0.0000
0.0000 0.5000 0.5000
0.5000 0.0000 0.5000
0.5000 0.5000 0.0000
0.2500 0.2500 0.2500
0.2500 0.7500 0.7500
0.7500 0.2500 0.7500
0.7500 0.7500 0.2500
0.0000 0.0000 0.5000
0.0000 0.5000 0.0000
0.5000 0.0000 0.0000
0.5000 0.5000 0.5000
0.2500 0.2500 0.7500
0.2500 0.7500 0.2500
0.7500 0.2500 0.2500
0.7500 0.7500 0.7500
```

---

no.,size of the total moment (μB per formula unit)
1,0.07
2,0.01